DFT (PBE) results for a relaxed structure of TaBeB.

```
data_TaBeB
_chemical_formula_sum 'Ta4 Be4 B4'
_symmetry_space_group_name_H-M 'P n m a'
_symmetry_Int_Tables_number 62
_cell_length_a 4.378
_cell_length_b 3.132
_cell_length_c 9.156
_cell_angle_alpha 90.00
_cell_angle_beta 90.00
_cell_angle_gamma 90.00
loop_
_symmetry_equiv_pos_as_xyz
'x,y,z'
'-x,-y,-z'
'-x+1/2,-y,z+1/2'
'x+1/2,y,-z+1/2'
'x+1/2,-y+1/2,-z+1/2'
'-x+1/2,y+1/2,z+1/2'
'-x,y+1/2,-z'
'x,-y+1/2,z'
loop_
_atom_site_label
_atom_site_type_symbol
_atom_site_fract_x
_atom_site_fract_y
_atom_site_fract_z
Ta1 Ta 0.124 0.250 0.122
Be1 Be 0.139 0.750 0.348
B1 B 0.116 0.250 0.475
```

As for the polymorph energy (0 for the lowest one): 359 meV per atom. The value obtained for the total energy is -7.749 eV per atom.